## La3Ho7 (PBE)

Data for a relaxed structure of La3Ho7.

Cell lengths 5.7046, 7.0395, 8.8581 Å; angles 101.67, 108.78, 90.00 degrees
Fractional positions:
Ho 0.0000 0.5000 0.0000
Ho 0.6010 0.7974 0.2020
Ho 0.3990 0.2026 0.7980
Ho 0.5966 0.3086 0.1931
Ho 0.7903 0.6419 0.5805
Ho 0.4034 0.6914 0.8069
Ho 0.2097 0.3581 0.4195
La 0.2157 0.8486 0.4314
La 0.7843 0.1514 0.5686
La 0.0000 0.0000 0.0000

Results
The uncorrected energy is -46.35 eV/cell.